A relaxed structure of BaCu2P. Source: Alexandria via LeMat-Bulk, functional GGA-PBEsol.

Unit cell a=4.058 b=4.062 c=6.085 alpha=109.48 beta=90.00 gamma=119.97
Element x y z (fractional)
Ba 0.247 0.494 0.741
Cu 0.057 0.115 0.172
Cu 0.753 0.506 0.259
P 0.443 0.885 0.328

Calculated values
- calculated total energy (eV/atom) = -4.479
- energy of formation from the pure elements (eV/atom) = -0.33

=====

A relaxed structure of BaCu2P. Source: Alexandria via LeMat-Bulk, functional GGA-PBEsol.

Unit cell a=3.265 b=3.265 c=6.962 alpha=90.00 beta=90.00 gamma=90.00
Element x y z (fractional)
Ba 0.500 0.500 0.500
Cu 0.000 0.000 0.832
Cu 0.000 0.000 0.168
P 0.500 0.500 0.000

Calculated values
- calculated total energy (eV/atom) = -3.911
- energy of formation from the pure elements (eV/atom) = 0.24

=====

A relaxed structure of BaCu2P4. Source: Alexandria via LeMat-Bulk, functional GGA-PBEsol.

Unit cell a=5.393 b=5.722 c=9.809 alpha=82.56 beta=74.04 gamma=61.88
Element x y z (fractional)
Ba 0.500 0.000 0.000
Ba 0.250 0.500 0.500
Cu 0.872 0.500 0.257
Cu 0.878 0.000 0.243
Cu 0.628 0.500 0.743
Cu 0.122 0.000 0.757
P 0.931 0.381 0.891
P 0.178 0.619 0.891
P 0.547 0.881 0.391
P 0.203 0.619 0.109
P 0.062 0.119 0.391
P 0.572 0.881 0.609
P 0.688 0.381 0.109
P 0.819 0.119 0.609

Calculated values
- calculated total energy (eV/atom) = -5.352
- energy of formation from the pure elements (eV/atom) = -0.50

=====

Copy entry 2 word for word.
A relaxed structure of BaCu2P. Source: Alexandria via LeMat-Bulk, functional GGA-PBEsol.

Unit cell a=3.265 b=3.265 c=6.962 alpha=90.00 beta=90.00 gamma=90.00
Element x y z (fractional)
Ba 0.500 0.500 0.500
Cu 0.000 0.000 0.832
Cu 0.000 0.000 0.168
P 0.500 0.500 0.000

Calculated values
- calculated total energy (eV/atom) = -3.911
- energy of formation from the pure elements (eV/atom) = 0.24

=====

Copy entry 3 word for word.
A relaxed structure of BaCu2P4. Source: Alexandria via LeMat-Bulk, functional GGA-PBEsol.

Unit cell a=5.393 b=5.722 c=9.809 alpha=82.56 beta=74.04 gamma=61.88
Element x y z (fractional)
Ba 0.500 0.000 0.000
Ba 0.250 0.500 0.500
Cu 0.872 0.500 0.257
Cu 0.878 0.000 0.243
Cu 0.628 0.500 0.743
Cu 0.122 0.000 0.757
P 0.931 0.381 0.891
P 0.178 0.619 0.891
P 0.547 0.881 0.391
P 0.203 0.619 0.109
P 0.062 0.119 0.391
P 0.572 0.881 0.609
P 0.688 0.381 0.109
P 0.819 0.119 0.609

Calculated values
- calculated total energy (eV/atom) = -5.352
- energy of formation from the pure elements (eV/atom) = -0.50

=====

- Which formula does entry 3 have?
  BaCu2P4